No. 1
Crystalline AgSnCl6 at its relaxed geometry, computed with PBE.

Cell and atoms, written as extended XYZ:
```
8
Lattice="-6.928 0.009 -2.434 -2.633 -5.271 -3.514 -3.065 -5.072 3.206" Properties=species:S:1:pos:R:3 pbc="T T T"
Ag -3.464 0.004 -1.217
Sn 0.000 0.000 0.000
Cl -4.925 -5.996 -2.671
Cl -4.322 -4.355 1.110
Cl -8.304 -5.979 -3.852
Cl -7.701 -4.338 -0.070
Cl -6.036 -8.185 0.632
Cl -6.590 -2.149 -3.374
```

Output
Crystal system: monoclinic
Energy relative to the elements, uncorrected (meV/atom): -671
Energy relative to the lowest polymorph listed for this composition (meV/atom): 0


No. 2
Crystalline CoTcRh2 at its relaxed geometry, computed with PBE.

Cell and atoms, written as extended XYZ:
```
4
Lattice="4.272 0.000 0.000 2.136 3.700 0.000 2.136 1.233 3.488" Properties=species:S:1:pos:R:3 pbc="T T T"
Co 4.272 2.467 1.744
Rh 0.000 0.000 0.000
Rh 2.136 1.233 0.872
Tc 6.408 3.700 2.616
```

Output
Crystal system: cubic
Energy relative to the elements (meV per atom): 289
Energy relative to the lowest polymorph listed for this composition (meV/atom): 309


No. 3
Crystalline NbAgN2 at its relaxed geometry, computed with PBE.

Cell and atoms, written as extended XYZ:
```
8
Lattice="-4.464 1.328 2.045 0.572 -3.577 3.571 0.254 1.997 5.583" Properties=species:S:1:pos:R:3 pbc="T T T"
Nb -1.946 -1.124 2.808
Nb -0.560 -1.352 5.981
Ag 0.000 0.000 0.000
Ag -3.078 1.101 5.218
N -2.355 0.793 2.983
N -0.437 -1.481 4.021
N -1.231 0.415 6.533
N -3.253 -0.229 8.862
```

Output
Crystal system: tetragonal
Energy relative to the elements, uncorrected (meV/atom): -255
Energy relative to the lowest polymorph listed for this composition (meV/atom): 5


No. 4
Crystalline La3SmGe2C at its relaxed geometry, computed with PBE.

Cell and atoms, written as extended XYZ:
```
7
Lattice="4.927 0.000 0.000 0.000 4.965 0.000 -2.463 -2.482 8.042" Properties=species:S:1:pos:R:3 pbc="T T T"
La 0.000 2.482 0.000
La 0.000 0.000 2.741
La 2.463 2.482 5.301
Sm 2.463 0.000 0.000
Ge 2.463 2.482 2.168
Ge 0.000 0.000 5.875
C 0.000 0.000 0.000
```

Output
Crystal system: orthorhombic
Energy relative to the elements (meV per atom): -529


No. 5
Crystalline MoPt5Rh3 at its relaxed geometry, computed with PBE.

Cell and atoms, written as extended XYZ:
```
18
Lattice="6.680 0.000 0.000 0.000 6.680 0.000 -3.340 -3.340 6.705" Properties=species:S:1:pos:R:3 pbc="T T T"
Mo 3.340 0.000 3.352
Mo 0.000 3.340 3.352
Pt -1.942 1.398 4.734
Pt 1.942 -1.398 4.734
Pt -1.398 -1.942 4.734
Pt 1.398 1.942 4.734
Pt 5.282 1.942 1.970
Pt 1.398 4.737 1.970
Pt 4.737 5.282 1.970
Pt 1.942 1.398 1.970
Pt 3.340 3.340 0.000
Pt 0.000 0.000 0.000
Rh 4.158 0.818 0.000
Rh 2.522 5.862 0.000
Rh 5.862 4.158 0.000
Rh 0.818 2.522 0.000
Rh 0.000 0.000 3.352
Rh 3.340 3.340 3.352
```

Output
Crystal system: tetragonal
Energy relative to the elements (meV per atom): 326


No. 6
Crystalline Sr2Zn2Pd at its relaxed geometry, computed with PBE.

Cell and atoms, written as extended XYZ:
```
5
Lattice="4.333 0.000 0.000 0.000 4.109 -1.333 0.000 0.143 7.438" Properties=species:S:1:pos:R:3 pbc="T T T"
Sr 0.000 2.846 1.771
Sr 0.000 3.984 5.279
Zn 2.166 1.338 4.123
Zn 2.166 2.077 -0.596
Pd 2.166 0.498 1.535
```

Output
Crystal system: orthorhombic
Energy relative to the elements (meV per atom): -389
Energy relative to the lowest polymorph listed for this composition (meV/atom): 33


No. 7
Crystalline ZrFe2Si at its relaxed geometry, computed with PBE.

Cell and atoms, written as extended XYZ:
```
4
Lattice="-3.086 -1.018 -2.869 0.628 -3.252 -2.796 -2.229 -3.692 0.433" Properties=species:S:1:pos:R:3 pbc="T T T"
Fe 0.000 0.000 0.000
Fe -1.172 -1.990 -1.308
Si -2.343 -3.981 -2.615
Zr -3.515 -5.971 -3.923
```

Output
Crystal system: cubic
Energy relative to the elements, uncorrected (meV/atom): -167


No. 8
Crystalline NaNd2As3Pt4 at its relaxed geometry, computed with PBE.

Cell and atoms, written as extended XYZ:
```
10
Lattice="-3.804 -2.005 -0.180 0.830 -1.212 -4.045 4.615 -9.084 3.669" Properties=species:S:1:pos:R:3 pbc="T T T"
Na 0.821 -6.150 -0.278
Nd -0.839 -3.095 0.755
Nd 3.967 -7.598 0.801
As 2.307 -4.542 1.834
As 2.111 -8.901 3.100
As 1.017 -1.791 -1.544
Pt -1.487 -1.609 -2.113
Pt 0.000 0.000 0.000
Pt 1.082 -6.877 2.282
Pt 2.046 -3.815 -0.726
```

Output
Crystal system: tetragonal
Energy relative to the elements (meV per atom): -783


No. 9
Crystalline Er6SnSe4 at its relaxed geometry, computed with PBE.

Cell and atoms, written as extended XYZ:
```
22
Lattice="-0.687 -4.029 -0.336 5.977 1.323 -3.059 9.781 -3.147 17.748" Properties=species:S:1:pos:R:3 pbc="T T T"
Er -0.344 -2.014 -0.168
Er 4.547 -3.588 8.706
Er 3.846 -1.125 5.632
Er 11.224 -4.728 8.722
Er 12.897 -5.266 11.758
Er 2.173 -0.587 2.596
Er 6.603 -3.651 5.256
Er 8.468 -2.202 9.097
Er 11.455 -3.163 14.517
Er 3.616 -2.690 -0.164
Er 6.295 -1.259 2.232
Er 8.776 -4.594 12.121
Sn 4.007 -3.035 3.178
Sn 11.064 -2.818 11.175
Se 8.936 -4.198 7.043
Se 5.845 -0.957 -0.476
Se 6.135 -1.655 7.310
Se 9.226 -4.896 14.829
Se 13.113 -5.542 14.624
Se 1.958 -0.311 -0.270
Se 6.742 -4.097 10.321
Se 8.329 -1.756 4.032
```

Output
Crystal system: orthorhombic
Energy relative to the elements, uncorrected (meV/atom): -1387


No. 10
Crystalline LaFeI2N at its relaxed geometry, computed with PBE.

Cell and atoms, written as extended XYZ:
```
5
Lattice="-3.424 -1.282 -4.247 3.781 -3.649 -1.947 -1.495 -2.613 1.994" Properties=species:S:1:pos:R:3 pbc="T T T"
I 1.891 -1.825 -0.973
I -1.712 -0.641 -2.123
N -0.748 -1.307 0.997
Fe 0.000 0.000 0.000
La -0.569 -3.772 -2.100
```

Output
Crystal system: tetragonal
Energy relative to the elements, uncorrected (meV/atom): -176
Energy relative to the lowest polymorph listed for this composition (meV/atom): 0


No. 11
Crystalline SrZnCd2Pd at its relaxed geometry, computed with PBE.

Cell and atoms, written as extended XYZ:
```
5
Lattice="-4.448 -2.089 1.801 1.087 -4.469 -2.498 2.368 -1.634 3.953" Properties=species:S:1:pos:R:3 pbc="T T T"
Sr -0.497 -4.096 1.628
Zn 1.184 -0.817 1.977
Pd 0.000 0.000 0.000
Cd 0.543 -2.234 -1.249
Cd -2.224 -1.044 0.901
```

Output
Crystal system: tetragonal
Energy relative to the elements (meV per atom): -254
Energy relative to the lowest polymorph listed for this composition (meV/atom): 96


No. 12
Crystalline LiNbSiPt2 at its relaxed geometry, computed with PBE.

Cell and atoms, written as extended XYZ:
```
5
Lattice="4.169 0.000 0.000 0.000 4.356 0.000 0.000 0.000 4.169" Properties=species:S:1:pos:R:3 pbc="T T T"
Nb 2.085 2.178 2.085
Si 0.000 2.178 0.000
Pt 0.000 0.000 2.085
Pt 2.085 0.000 0.000
Li 0.000 0.000 0.000
```

Output
Crystal system: tetragonal
Energy relative to the elements, uncorrected (meV/atom): 275


Number 1: E -2.9131 eV per atom. Number 2: E -7.7547 eV per atom. Number 3: E -7.6482 eV per atom. Number 4: E -5.9523 eV per atom. Number 5: E -6.6840 eV per atom. Number 6: E -2.6103 eV per atom. Number 7: E -7.8908 eV per atom. Number 8: E -5.6792 eV per atom. Number 9: E -5.5070 eV per atom. Number 10: E -5.1394 eV per atom. Number 11: E -2.2499 eV per atom. Number 12: E -5.6225 eV per atom.